# 1
A geometry-optimized Na2Se2F structure. Source: Alexandria via LeMat-Bulk, functional PBE.

Cell and atoms, written as POSCAR:
```
Na2Se2F
1.0
-1.916 1.916 7.726
1.916 -1.916 7.726
1.916 1.916 -7.726
Na Se F
2 2 1
Cartesian
0.000 0.000 1.503 Na
0.000 0.000 13.949 Na
1.916 0.000 3.863 Se
0.000 1.916 3.863 Se
0.000 0.000 7.726 F
```

density of states at the Fermi level	0.19	states/eV/atom
ΔE_f (raw)	-1.094	eV/atom
space group	I4/mmm (139)

=====

# 2
A geometry-optimized NaSeF6 structure. Source: Alexandria via LeMat-Bulk, functional PBE.

Cell and atoms, written as POSCAR:
```
NaSeF6
1.0
5.278 0.000 0.000
-2.639 4.571 0.000
0.000 0.000 5.008
Na Se F
1 1 6
Cartesian
0.000 0.000 0.000 Na
0.000 3.048 2.504 Se
-0.752 1.737 1.427 F
-1.511 3.051 3.581 F
0.752 1.737 3.581 F
-0.759 4.354 1.427 F
1.511 3.051 1.427 F
0.759 4.354 3.581 F
```

density of states at the Fermi level	0.38	states/eV/atom
ΔE_f (raw)	-1.909	eV/atom
space group	P312 (149)
ΔE to the lowest computed polymorph	0.000	eV/atom

=====

# 3
A geometry-optimized Na2SeF6 structure. Source: Alexandria via LeMat-Bulk, functional PBE.

Cell and atoms, written as POSCAR:
```
Na2SeF6
1.0
5.119 0.000 0.000
0.000 5.119 0.000
0.000 0.000 10.179
Na Se F
4 2 12
Cartesian
0.000 0.000 1.670 Na
0.000 0.000 8.510 Na
2.560 2.560 3.420 Na
2.560 2.560 6.760 Na
0.000 0.000 5.090 Se
2.560 2.560 0.000 Se
0.938 0.938 3.635 F
0.938 0.938 6.545 F
1.170 1.170 0.000 F
1.390 3.729 5.090 F
1.622 3.498 1.455 F
1.622 3.498 8.724 F
3.498 1.622 1.455 F
3.498 1.622 8.724 F
3.729 1.390 5.090 F
3.950 3.950 0.000 F
4.181 4.181 3.635 F
4.181 4.181 6.545 F
```

density of states at the Fermi level	0.00	states/eV/atom
ΔE_f (raw)	-2.229	eV/atom
space group	P4_2/mnm (136)

=====

# 4
A geometry-optimized NaSeF3 structure. Source: Alexandria via LeMat-Bulk, functional PBE.

Cell and atoms, written as POSCAR:
```
NaSeF3
1.0
3.905 0.000 0.000
-0.190 5.870 0.000
-0.789 -2.816 7.289
Na Se F
2 2 6
Cartesian
0.000 0.000 0.000 Na
1.320 2.175 2.863 Na
1.426 0.103 6.465 Se
3.004 -0.749 3.686 Se
-0.213 0.358 2.298 F
1.524 1.817 0.566 F
1.727 4.601 0.036 F
2.076 -1.709 5.547 F
2.348 1.060 4.602 F
3.311 3.442 2.828 F
```

ΔE_f (raw)	-1.808	eV/atom
space group	P1 (1)
ΔE to the lowest computed polymorph	0.038	eV/atom